PmCd3Ag, relaxed, DFT GGA-PBE; DFT formation energy = -1.12 eV/f.u.; VASP energy = -2.294 eV per atom; symmetry = P2_1/m (11)
1.0
5.970 0.000 0.000
0.000 5.842 0.000
-0.067 0.000 6.744
Pm Cd Ag
2 6 2
Direct
0.153 0.250 0.352
0.847 0.750 0.648
0.070 0.750 0.114
0.358 0.002 0.820
0.358 0.498 0.820
0.642 0.502 0.180
0.642 0.998 0.180
0.930 0.250 0.886
0.350 0.750 0.454
0.650 0.250 0.546